First-principles (SCAN) data for a crystal of RbHf2HI relaxed with PBEsol, as listed in Alexandria.

Lattice parameters (Å, degrees): 5.2292 5.2292 6.9514 90.00 90.00 90.00
Last column: nearest neighbours and their distance in Å.
Atoms (fractional coordinates):
Rb: 0.0000 0.0000 0.0000  2 I 3.48, 4 H 3.70
Hf: 0.0000 0.5000 0.5000  2 I 2.61
Hf: 0.5000 0.0000 0.5000  2 I 2.61
H: 0.5000 0.5000 0.0000  4 Rb 3.70
I: 0.0000 0.0000 0.5000  4 Hf 2.61

Spin magnetization in μB per atom: 0.563
Density in Mg/m³: 4.98
E_tot in eV/cell: -178.5